Record 1
Below is a relaxed TbSm2DyBi4 crystal, with properties calculated at the PBE-GGA level.

Summary:
formation enthalpy at 0 K = -0.897 eV per atom
total energy = -0.380 Ry/atom

Cell lengths 7.8298, 4.5239, 7.8315 Å; angles 90.00, 109.47, 90.00 degrees
Space group P2/m (No. 10)
One atom of each set of equivalent atoms:
Tb1 0.0000 0.0000 0.0000 (multiplicity 1)
Sm1 0.5000 0.0000 0.5000 (multiplicity 1)
Sm2 0.5000 0.5000 0.0000 (multiplicity 1)
Dy1 0.0000 0.5000 0.5000 (multiplicity 1)
Bi1 0.2448 0.0000 0.7478 (multiplicity 2)
Bi2 0.2452 0.5000 0.2489 (multiplicity 2)

***

Record 2
Below is a relaxed Ca2CdTe crystal, with properties calculated at the PBE-GGA level.

Summary:
energy relative to the elements, uncorrected = -639 meV/atom
excess energy over the best structure of this formula in the dataset = 200.9 meV per atom
total energy = -0.195 Ry/atom

Cell lengths 8.4243, 8.4243, 7.7237 Å; angles 90.00, 90.00, 90.00 degrees
Space group I-42d (No. 122)
One atom of each set of equivalent atoms:
Ca1 0.2399 0.2500 0.1250 (multiplicity 8)
Cd1 0.0000 0.0000 0.5000 (multiplicity 4)
Te1 0.0000 0.0000 0.0000 (multiplicity 4)

***

Question: Look up the total energy of the second one.
Answer: -0.195 Ry/atom

***

What did the first record say?
Below is a relaxed TbSm2DyBi4 crystal, with properties calculated at the PBE-GGA level.

Summary:
formation enthalpy at 0 K = -0.897 eV per atom
total energy = -0.380 Ry/atom

Cell lengths 7.8298, 4.5239, 7.8315 Å; angles 90.00, 109.47, 90.00 degrees
Space group P2/m (No. 10)
One atom of each set of equivalent atoms:
Tb1 0.0000 0.0000 0.0000 (multiplicity 1)
Sm1 0.5000 0.0000 0.5000 (multiplicity 1)
Sm2 0.5000 0.5000 0.0000 (multiplicity 1)
Dy1 0.0000 0.5000 0.5000 (multiplicity 1)
Bi1 0.2448 0.0000 0.7478 (multiplicity 2)
Bi2 0.2452 0.5000 0.2489 (multiplicity 2)

***

Question: Look up the total energy of the first one.
Answer: -0.380 Ry/atom

***

Repeat the second record exactly.
Below is a relaxed Ca2CdTe crystal, with properties calculated at the PBE-GGA level.

Summary:
energy relative to the elements, uncorrected = -639 meV/atom
excess energy over the best structure of this formula in the dataset = 200.9 meV per atom
total energy = -0.195 Ry/atom

Cell lengths 8.4243, 8.4243, 7.7237 Å; angles 90.00, 90.00, 90.00 degrees
Space group I-42d (No. 122)
One atom of each set of equivalent atoms:
Ca1 0.2399 0.2500 0.1250 (multiplicity 8)
Cd1 0.0000 0.0000 0.5000 (multiplicity 4)
Te1 0.0000 0.0000 0.0000 (multiplicity 4)